Density functional theory data (GGA-PBE) for a relaxed structure of LiCr2CoOs.

Calculated values
Total magnetization ... 0.80 μB/cell
Calculated volume ... 11.59 Å³/atom
Total energy ... -6.773 eV per atom
Crystal system ... tetragonal

a b c (Å): 3.934 3.934 3.745
angles (deg): 90.00 90.00 90.00
Space group P4/mmm (No. 123)
Symmetry-distinct sites (fractional):
1 Li 0.000 0.000 0.000
2 Cr 0.000 0.500 0.000
3 Co 0.000 0.000 0.500
4 Os 0.500 0.500 0.500


Density functional theory data (GGA-PBE) for a relaxed structure of LiCr2CoOs.

Calculated values
Total magnetization ... 6.51 μB/cell
Calculated volume ... 18.03 Å³/atom
Total energy ... -6.706 eV per atom
Crystal system ... tetragonal

a b c (Å): 4.536 4.536 4.382
angles (deg): 90.00 90.00 90.00
Space group P4/mmm (No. 123)
Symmetry-distinct sites (fractional):
1 Li 0.000 0.000 0.000
2 Cr 0.000 0.500 0.500
3 Co 0.500 0.500 0.500
4 Os 0.500 0.500 0.000


Density functional theory data (GGA-PBE) for a relaxed structure of LiCrCo2Pd.

Calculated values
Total magnetization ... 4.08 μB/cell
Calculated volume ... 17.23 Å³/atom
Total energy ... -4.731 eV per atom
Crystal system ... tetragonal

a b c (Å): 4.571 4.571 4.122
angles (deg): 90.00 90.00 90.00
Space group P4/mmm (No. 123)
Symmetry-distinct sites (fractional):
1 Li 0.000 0.000 0.000
2 Cr 0.500 0.500 0.000
3 Co 0.000 0.500 0.500
4 Pd 0.000 0.000 0.500


Density functional theory data (GGA-PBE) for a relaxed structure of LiCrCo2Pt.

Calculated values
Total magnetization ... 4.44 μB/cell
Calculated volume ... 12.18 Å³/atom
Total energy ... -5.489 eV per atom
Crystal system ... tetragonal

a b c (Å): 3.882 3.882 4.041
angles (deg): 90.00 90.00 90.00
Space group P4/mmm (No. 123)
Symmetry-distinct sites (fractional):
1 Li 0.000 0.000 0.000
2 Cr 0.000 0.000 0.500
3 Co 0.000 0.500 0.000
4 Pt 0.500 0.500 0.500


Density functional theory data (GGA-PBE) for a relaxed structure of RbLi2CrCo.

Calculated values
Total magnetization ... 7.30 μB/cell
Calculated volume ... 35.84 Å³/atom
Total energy ... -2.918 eV per atom
Crystal system ... tetragonal

a b c (Å): 5.283 5.283 6.420
angles (deg): 90.00 90.00 90.00
Space group P4/mmm (No. 123)
Symmetry-distinct sites (fractional):
1 Rb 0.000 0.000 0.000
2 Li 0.000 0.500 0.500
3 Cr 0.000 0.000 0.500
4 Co 0.500 0.500 0.000


Density functional theory data (GGA-PBE) for a relaxed structure of LiCrCo2Re.

Calculated values
Total magnetization ... 0.23 μB/cell
Calculated volume ... 11.33 Å³/atom
Total energy ... -6.652 eV per atom
Crystal system ... tetragonal

a b c (Å): 3.766 3.766 3.994
angles (deg): 90.00 90.00 90.00
Space group P4/mmm (No. 123)
Symmetry-distinct sites (fractional):
1 Li 0.000 0.000 0.000
2 Cr 0.000 0.000 0.500
3 Co 0.000 0.500 0.000
4 Re 0.500 0.500 0.500


Density functional theory data (GGA-PBE) for a relaxed structure of LiCrCoRh.

Calculated values
Total magnetization ... 4.26 μB/cell
Calculated volume ... 11.71 Å³/atom
Total energy ... -6.455 eV per atom
Crystal system ... cubic

a b c (Å): 5.723 5.723 5.723
angles (deg): 90.00 90.00 90.00
Space group F-43m (No. 216)
Symmetry-distinct sites (fractional):
1 Li 0.000 0.000 0.000
2 Cr 0.000 0.000 0.500
3 Co 0.250 0.250 0.250
4 Rh 0.250 0.250 0.750


Density functional theory data (GGA-PBE) for a relaxed structure of Li2CrCoSb.

Calculated values
Total magnetization ... 3.16 μB/cell
Calculated volume ... 18.48 Å³/atom
Total energy ... -4.175 eV per atom
Raw formation energy ... 0.761 eV per atom
Crystal system ... tetragonal

a b c (Å): 4.616 4.616 4.337
angles (deg): 90.00 90.00 90.00
Space group P4/mmm (No. 123)
Symmetry-distinct sites (fractional):
1 Li 0.000 0.500 0.000
2 Cr 0.000 0.000 0.000
3 Co 0.000 0.000 0.500
4 Sb 0.500 0.500 0.500


Density functional theory data (GGA-PBE) for a relaxed structure of LiCr2CoSn.

Calculated values
Total magnetization ... 8.59 μB/cell
Calculated volume ... 16.60 Å³/atom
Total energy ... -5.295 eV per atom
Crystal system ... tetragonal

a b c (Å): 4.323 4.323 4.441
angles (deg): 90.00 90.00 90.00
Space group P4/mmm (No. 123)
Symmetry-distinct sites (fractional):
1 Li 0.000 0.000 0.000
2 Cr 0.000 0.500 0.000
3 Co 0.500 0.500 0.500
4 Sn 0.000 0.000 0.500


Density functional theory data (GGA-PBE) for a relaxed structure of LiVCr2Co.

Calculated values
Total magnetization ... 5.07 μB/cell
Calculated volume ... 13.23 Å³/atom
Total energy ... -6.090 eV per atom
Crystal system ... tetragonal

a b c (Å): 4.064 4.064 4.005
angles (deg): 90.00 90.00 90.00
Space group P4/mmm (No. 123)
Symmetry-distinct sites (fractional):
1 Li 0.000 0.000 0.000
2 V 0.000 0.000 0.500
3 Cr 0.000 0.500 0.000
4 Co 0.500 0.500 0.500


Density functional theory data (GGA-PBE) for a relaxed structure of MgCrCo.

Calculated values
Total magnetization ... 0.54 μB/cell
Calculated volume ... 13.58 Å³/atom
Total energy ... -5.859 eV per atom
Crystal system ... tetragonal

a b c (Å): 2.761 2.761 10.694
angles (deg): 90.00 90.00 90.00
Space group I4mm (No. 107)
Symmetry-distinct sites (fractional):
1 Mg 0.000 0.000 0.000
2 Cr 0.000 0.000 0.700
3 Co 0.000 0.000 0.319


Density functional theory data (GGA-PBE) for a relaxed structure of Mg2CrCo.

Calculated values
Total magnetization ... 7.72 μB/cell
Calculated volume ... 15.93 Å³/atom
Total energy ... -4.619 eV per atom
Crystal system ... trigonal

a b c (Å): 2.8633 2.8633 26.9299
angles (deg): 90.00 90.00 120.00
Space group R3m (No. 160, hexagonal axes)
Symmetry-distinct sites (fractional):
1 Mg 0.0000 0.0000 0.0000
2 Mg 0.0000 0.0000 0.2299
3 Cr 0.0000 0.0000 0.4758
4 Co 0.0000 0.0000 0.7469


Density functional theory data (GGA-PBE) for a relaxed structure of MgCr2Co.

Calculated values
Total magnetization ... 0.66 μB/cell
Calculated volume ... 13.17 Å³/atom
Total energy ... -6.691 eV per atom
Crystal system ... orthorhombic

a b c (Å): 3.019 4.001 4.362
angles (deg): 90.00 90.00 90.00
Space group Pmmm (No. 47)
Symmetry-distinct sites (fractional):
1 Mg 0.000 0.000 0.000
2 Cr 0.000 0.500 0.500
3 Cr 0.500 0.000 0.500
4 Co 0.500 0.500 0.000


Density functional theory data (GGA-PBE) for a relaxed structure of Mg2CrCo.

Calculated values
Total magnetization ... 0.87 μB/cell
Calculated volume ... 14.71 Å³/atom
Total energy ... -4.541 eV per atom
Crystal system ... tetragonal

a b c (Å): 2.660 2.660 8.315
angles (deg): 90.00 90.00 90.00
Space group P4/mmm (No. 123)
Symmetry-distinct sites (fractional):
1 Mg 0.000 0.000 0.240
2 Cr 0.500 0.500 0.500
3 Co 0.500 0.500 0.000


Density functional theory data (GGA-PBE) for a relaxed structure of Mg2CrCo.

Calculated values
Total magnetization ... 11.93 μB/cell
Calculated volume ... 15.67 Å³/atom
Total energy ... -4.494 eV per atom
Crystal system ... trigonal

a b c (Å): 2.8282 2.8282 27.1414
angles (deg): 90.00 90.00 120.00
Space group R-3m (No. 166, hexagonal axes)
Symmetry-distinct sites (fractional):
1 Mg 0.0000 0.0000 0.2453
2 Cr 0.0000 0.0000 0.0000
3 Co 0.0000 0.0000 0.5000


Density functional theory data (GGA-PBE) for a relaxed structure of Mg2CrCo.

Calculated values
Total magnetization ... 17.91 μB/cell
Calculated volume ... 15.77 Å³/atom
Total energy ... -4.622 eV per atom
Crystal system ... cubic

a b c (Å): 6.319 6.319 6.319
angles (deg): 90.00 90.00 90.00
Space group Fm-3m (No. 225)
Symmetry-distinct sites (fractional):
1 Mg 0.250 0.250 0.250
2 Cr 0.000 0.000 0.000
3 Co 0.000 0.000 0.500


Density functional theory data (GGA-PBE) for a relaxed structure of Mg2CrCo.

Calculated values
Total magnetization ... 4.64 μB/cell
Calculated volume ... 15.99 Å³/atom
Total energy ... -4.613 eV per atom
Crystal system ... tetragonal

a b c (Å): 4.026 4.026 3.945
angles (deg): 90.00 90.00 90.00
Space group P4/mmm (No. 123)
Symmetry-distinct sites (fractional):
1 Mg 0.000 0.500 0.000
2 Cr 0.000 0.000 0.500
3 Co 0.500 0.500 0.500


Density functional theory data (GGA-PBE) for a relaxed structure of Mg2CrCo.

Calculated values
Total magnetization ... 6.92 μB/cell
Calculated volume ... 15.88 Å³/atom
Total energy ... -4.678 eV per atom
Crystal system ... monoclinic

a b c (Å): 10.292 3.004 4.584
angles (deg): 90.00 116.34 90.00
Space group Cm (No. 8)
Symmetry-distinct sites (fractional):
1 Mg 0.000 0.000 0.000
2 Mg 0.218 0.000 0.722
3 Cr 0.437 0.000 0.437
4 Co 0.241 0.500 0.248


Density functional theory data (GGA-PBE) for a relaxed structure of MgCr2Co.

Calculated values
Total magnetization ... 0.46 μB/cell
Calculated volume ... 12.81 Å³/atom
Total energy ... -6.638 eV per atom
Crystal system ... monoclinic

a b c (Å): 2.583 3.865 5.237
angles (deg): 90.00 101.48 90.00
Space group Pm (No. 6)
Symmetry-distinct sites (fractional):
1 Mg 0.000 0.000 0.000
2 Cr 0.296 0.500 0.705
3 Cr 0.473 0.000 0.499
4 Co 0.710 0.500 0.266


Density functional theory data (GGA-PBE) for a relaxed structure of MgCr2Co.

Calculated values
Total magnetization ... 5.50 μB/cell
Calculated volume ... 13.47 Å³/atom
Total energy ... -6.453 eV per atom
Crystal system ... tetragonal

a b c (Å): 4.201 4.201 3.052
angles (deg): 90.00 90.00 90.00
Space group P4/mmm (No. 123)
Symmetry-distinct sites (fractional):
1 Mg 0.000 0.000 0.000
2 Cr 0.000 0.500 0.500
3 Co 0.500 0.500 0.000


Density functional theory data (GGA-PBE) for a relaxed structure of MgCr2Co.

Calculated values
Total magnetization ... 1.83 μB/cell
Calculated volume ... 13.27 Å³/atom
Total energy ... -6.667 eV per atom
Crystal system ... tetragonal

a b c (Å): 4.220 4.220 5.961
angles (deg): 90.00 90.00 90.00
Space group I-4m2 (No. 119)
Symmetry-distinct sites (fractional):
1 Mg 0.000 0.000 0.000
2 Cr 0.000 0.000 0.500
3 Cr 0.000 0.500 0.750
4 Co 0.000 0.500 0.250


Density functional theory data (GGA-PBE) for a relaxed structure of Mg3CrCo.

Calculated values
Total magnetization ... 6.87 μB/cell
Calculated volume ... 26.05 Å³/atom
Total energy ... -3.033 eV per atom
Crystal system ... cubic

a b c (Å): 5.069 5.069 5.069
angles (deg): 90.00 90.00 90.00
Space group Pm-3m (No. 221)
Symmetry-distinct sites (fractional):
1 Mg 0.000 0.000 0.500
2 Cr 0.000 0.000 0.000
3 Co 0.500 0.500 0.500


Density functional theory data (GGA-PBE) for a relaxed structure of MgCr2Co.

Calculated values
Total magnetization ... 0.77 μB/cell
Calculated volume ... 13.47 Å³/atom
Total energy ... -6.741 eV per atom
Crystal system ... tetragonal

a b c (Å): 2.966 2.966 6.127
angles (deg): 90.00 90.00 90.00
Space group P4mm (No. 99)
Symmetry-distinct sites (fractional):
1 Mg 0.000 0.000 0.000
2 Cr 0.000 0.000 0.480
3 Cr 0.500 0.500 0.688
4 Co 0.500 0.500 0.260


Density functional theory data (GGA-PBE) for a relaxed structure of MgCr2Co.

Calculated values
Total magnetization ... 0.01 μB/cell
Calculated volume ... 12.70 Å³/atom
Total energy ... -6.597 eV per atom
Crystal system ... monoclinic

a b c (Å): 2.530 4.198 4.944
angles (deg): 90.00 104.74 90.00
Space group P2/m (No. 10)
Symmetry-distinct sites (fractional):
1 Mg 0.000 0.000 0.000
2 Cr 0.488 0.500 0.718
3 Co 0.000 0.000 0.500


Density functional theory data (GGA-PBE) for a relaxed structure of MgCrCo.

Calculated values
Total magnetization ... 2.55 μB/cell
Calculated volume ... 14.96 Å³/atom
Total energy ... -5.474 eV per atom
Crystal system ... cubic

a b c (Å): 5.642 5.642 5.642
angles (deg): 90.00 90.00 90.00
Space group F-43m (No. 216)
Symmetry-distinct sites (fractional):
1 Mg 0.000 0.000 0.000
2 Cr 0.000 0.000 0.500
3 Co 0.250 0.250 0.250


Density functional theory data (GGA-PBE) for a relaxed structure of Mg2CrCo.

Calculated values
Total magnetization ... 2.21 μB/cell
Calculated volume ... 14.64 Å³/atom
Total energy ... -4.545 eV per atom
Crystal system ... orthorhombic

a b c (Å): 3.379 4.062 8.530
angles (deg): 90.00 90.00 90.00
Space group Cmmm (No. 65)
Symmetry-distinct sites (fractional):
1 Mg 0.000 0.000 0.241
2 Cr 0.000 0.500 0.500
3 Co 0.000 0.500 0.000


Density functional theory data (GGA-PBE) for a relaxed structure of MgCr2Co.

Calculated values
Total magnetization ... 2.48 μB/cell
Calculated volume ... 12.91 Å³/atom
Total energy ... -6.711 eV per atom
Crystal system ... orthorhombic

a b c (Å): 2.963 4.229 8.244
angles (deg): 90.00 90.00 90.00
Space group Cmm2 (No. 35)
Symmetry-distinct sites (fractional):
1 Mg 0.000 0.000 0.000
2 Cr 0.000 0.000 0.507
3 Cr 0.000 0.500 0.285
4 Co 0.000 0.500 0.737


Density functional theory data (GGA-PBE) for a relaxed structure of MgCrCo.

Calculated values
Total magnetization ... 0.00 μB/cell
Calculated volume ... 12.95 Å³/atom
Total energy ... -5.726 eV per atom
Crystal system ... trigonal

a b c (Å): 4.1172 4.1172 2.6469
angles (deg): 90.00 90.00 120.00
Space group P3m1 (No. 156)
Symmetry-distinct sites (fractional):
1 Mg 0.0000 0.0000 0.0000
2 Cr 0.3333 0.6667 0.5802
3 Co 0.6667 0.3333 0.3834


Density functional theory data (GGA-PBE) for a relaxed structure of MgCr2Co.

Calculated values
Total magnetization ... 0.93 μB/cell
Calculated volume ... 12.55 Å³/atom
Total energy ... -6.525 eV per atom
Crystal system ... orthorhombic

a b c (Å): 4.801 8.381 2.494
angles (deg): 90.00 90.00 90.00
Space group Cmmm (No. 65)
Symmetry-distinct sites (fractional):
1 Mg 0.000 0.000 0.000
2 Cr 0.250 0.250 0.500
3 Co 0.000 0.500 0.000


Density functional theory data (GGA-PBE) for a relaxed structure of MgCr2Co.

Calculated values
Total magnetization ... 0.49 μB/cell
Calculated volume ... 12.41 Å³/atom
Total energy ... -6.690 eV per atom
Crystal system ... orthorhombic

a b c (Å): 2.862 4.011 8.649
angles (deg): 90.00 90.00 90.00
Space group Immm (No. 71)
Symmetry-distinct sites (fractional):
1 Mg 0.000 0.000 0.000
2 Cr 0.000 0.500 0.238
3 Co 0.000 0.000 0.500